The following is a GGA-PBE calculation of Ta8Nb3Au after structural relaxation, from Alexandria via LeMat-Bulk.

```
Ta8Nb3Au
1.0
5.457 0.000 0.000
-2.728 4.726 0.000
0.000 0.000 8.767
Ta Au Nb
8 1 3
Cartesian
2.728 1.575 0.472 Ta
4.053 0.811 6.555 Ta
0.000 1.621 2.212 Ta
0.000 3.150 8.296 Ta
2.728 3.104 6.555 Ta
1.404 0.811 6.555 Ta
1.324 3.915 2.212 Ta
-1.324 3.915 2.212 Ta
0.000 0.000 0.000 Au
2.728 1.575 3.840 Nb
0.000 0.000 4.384 Nb
0.000 3.150 4.927 Nb
```

## Properties
Total magnetic moment = 0.00 μB/f.u.
Electronic total energy = -126.9 eV per cell
Volume = 18.84 A^3/atom
ΔH_f (0 K) = 0.1170 eV/atom